! Sc6Tl2Cd | Alexandria | PBE | relaxed; values from VASP
&SYSTEM
  ibrav = 0, nat = 9, ntyp = 3
/
ATOMIC_SPECIES
Sc 44.96 Sc.upf
Tl 204.38 Tl.upf
Cd 112.41 Cd.upf
CELL_PARAMETERS angstrom
4.868 0.000 -0.187
0.000 6.856 0.000
-2.154 -3.428 7.393
ATOMIC_POSITIONS angstrom
Sc 2.434 1.667 -0.094
Sc 2.623 -1.737 4.803
Sc 2.623 1.737 4.803
Sc 2.434 5.190 -0.094
Sc 0.091 1.691 2.403
Sc 0.091 5.165 2.403
Tl 0.188 0.000 4.865
Tl 2.526 3.428 2.341
Cd 0.000 0.000 0.000
! **SG**: Immm, No. 71
! **Energy of formation from the pure elements**: 0.0600 eV per atom
! **Spin magnetization**: 0.19 μB/f.u.


! Sc5TlCd2 | Alexandria | PBE | relaxed; values from VASP
&SYSTEM
  ibrav = 0, nat = 8, ntyp = 3
/
ATOMIC_SPECIES
Tl 204.38 Tl.upf
Sc 44.96 Sc.upf
Cd 112.41 Cd.upf
CELL_PARAMETERS angstrom
4.420 0.000 -1.215
-0.334 4.408 -1.215
0.164 0.177 9.243
ATOMIC_POSITIONS angstrom
Tl 0.000 0.000 0.000
Sc 0.404 2.820 1.471
Sc 1.468 3.968 5.342
Sc 2.782 0.616 1.471
Sc 3.846 1.764 5.342
Sc 2.043 2.204 -1.215
Cd 1.109 1.196 4.035
Cd 3.141 3.388 2.778
! **SG**: I4/mmm, No. 139
! **Energy of formation from the pure elements**: -0.2180 eV per atom
! **Spin magnetization**: 2.81 μB/f.u.


! Sc2TlCd | Alexandria | PBE | relaxed; values from VASP
&SYSTEM
  ibrav = 0, nat = 4, ntyp = 3
/
ATOMIC_SPECIES
Cd 112.41 Cd.upf
Sc 44.96 Sc.upf
Tl 204.38 Tl.upf
CELL_PARAMETERS angstrom
-2.234 0.451 -5.418
3.515 -1.310 -4.526
-1.548 -2.468 5.105
ATOMIC_POSITIONS angstrom
Cd -1.571 -1.223 -2.642
Sc 1.303 -2.103 -2.196
Sc 0.000 0.000 0.000
Tl 0.640 -0.429 -4.972
! **SG**: I-4m2, No. 119
! **Energy of formation from the pure elements**: -0.1698 eV per atom
! **Spin magnetization**: 0.00 μB/f.u.


! Sc3TlCd4 | Alexandria | PBE | relaxed; values from VASP
&SYSTEM
  ibrav = 0, nat = 8, ntyp = 3
/
ATOMIC_SPECIES
Sc 44.96 Sc.upf
Cd 112.41 Cd.upf
Tl 204.38 Tl.upf
CELL_PARAMETERS angstrom
4.412 0.168 0.236
-0.230 4.525 1.051
-2.693 0.228 8.766
ATOMIC_POSITIONS angstrom
Sc 2.091 2.346 0.643
Sc -0.392 0.815 6.722
Sc 1.881 4.106 3.330
Cd -0.212 1.750 2.725
Cd 1.702 3.170 7.328
Cd -0.418 3.535 5.292
Cd 1.907 1.385 4.761
Tl 0.000 0.000 0.000
! **SG**: C2/m, No. 12
! **Energy of formation from the pure elements**: -0.2158 eV per atom
! **Spin magnetization**: 0.76 μB/f.u.


! Sc4Tl2Cd | Alexandria | PBE | relaxed; values from VASP
&SYSTEM
  ibrav = 0, nat = 7, ntyp = 3
/
ATOMIC_SPECIES
Sc 44.96 Sc.upf
Cd 112.41 Cd.upf
Tl 204.38 Tl.upf
CELL_PARAMETERS angstrom
-4.498 1.105 -1.793
-0.969 -0.623 -4.831
-4.262 -7.394 -0.743
ATOMIC_POSITIONS angstrom
Sc -3.986 -0.738 -4.210
Sc -3.326 -4.497 -1.305
Sc -5.742 -6.175 -3.156
Sc -6.402 -2.416 -6.062
Cd 0.000 0.000 0.000
Tl -7.291 -5.166 -5.529
Tl -2.438 -1.746 -1.838
! **SG**: R-3m, No. 166
! **Energy of formation from the pure elements**: -0.1567 eV per atom
! **Spin magnetization**: 0.77 μB/f.u.


! Sc2Tl2Cd | Alexandria | PBE | relaxed; values from VASP
&SYSTEM
  ibrav = 0, nat = 10, ntyp = 3
/
ATOMIC_SPECIES
Tl 204.38 Tl.upf
Sc 44.96 Sc.upf
Cd 112.41 Cd.upf
CELL_PARAMETERS angstrom
-1.233 0.793 7.738
-0.360 -7.832 0.746
4.006 -0.122 0.651
ATOMIC_POSITIONS angstrom
Tl 1.521 -0.992 3.118
Tl 1.578 -5.060 2.004
Tl 0.836 -2.100 7.130
Tl 0.892 -6.169 6.016
Sc -0.737 -6.376 3.338
Sc -0.856 -0.662 5.145
Sc -0.311 -2.618 1.425
Sc -1.282 -4.420 7.058
Cd -0.796 -3.519 4.242
Cd 0.000 0.000 0.000
! **SG**: P4/mbm, No. 127
! **Energy of formation from the pure elements**: -0.0806 eV per atom
! **Spin magnetization**: 0.00 μB/f.u.